# CaBeCo3

Crystalline CaBeCo3 at its relaxed geometry (PBE, Alexandria via LeMat-Bulk).

Structure (POSCAR):
```
CaBeCo3
1.0
4.096 0.000 0.000
0.000 4.096 0.000
0.000 0.000 4.096
Co Be Ca
3 1 1
Cartesian
0.000 2.048 0.000
2.048 0.000 0.000
0.000 0.000 2.048
0.000 0.000 0.000
2.048 2.048 2.048
```

## Properties
Excess energy over the best structure of this formula in the dataset in kJ/mol of atoms: 0.00
Formation enthalpy at 0 K in meV per atom: 354
DOS(E_F) in states/eV per atom: 1.8769
Final energy in eV/cell: -25.3